VASP calculation (PBE) on crystalline CoAgMo2 at its relaxed geometry.

Cell lengths 4.415, 4.415, 4.415 Å; angles 60.00, 60.00, 60.00 degrees
Fractional positions:
Co  0.000  0.000  0.000
Ag  0.500  0.500  0.500
Mo  0.250  0.250  0.250
Mo  0.750  0.750  0.750

Values from the calculation:
DFT formation energy: 0.732 eV per atom
E above lowest polymorph: 443 meV/atom
Total magnetization: 2.14 Bohr magnetons per cell